# Nd2TmAg

Nd2TmAg after structural relaxation (PBE-GGA, Alexandria via LeMat-Bulk).

Cell lengths 7.737, 7.737, 7.737 Å; angles 90.00, 90.00, 90.00 degrees
Space group Fm-3m (No. 225)
Unique sites:
Nd: 0.250 0.250 0.250 x8
Tm: 0.000 0.000 0.000 x4
Ag: 0.000 0.000 0.500 x4

Output
Total DFT energy (no corrections): -4.17 eV per atom
Energy relative to the elements: 0.05 eV/atom
Spin magnetization: 0.000 μB per atom


# KLiF3

KLiF3 after structural relaxation (PBE-GGA, Alexandria via LeMat-Bulk).

Cell lengths 7.227, 5.903, 7.869 Å; angles 90.00, 119.36, 90.00 degrees
Space group P2_1/c (No. 14)
Unique sites:
K: 0.217 0.245 0.098 x4
Li: 0.177 0.745 0.835 x4
F: 0.022 0.014 0.755 x4
F: 0.260 0.719 0.625 x4
F: 0.438 0.589 0.044 x4

Output
Total DFT energy (no corrections): -4.03 eV per atom
Uncorrected formation energy: -11.5 eV per formula unit
Spin magnetization: 0.000 μB per atom


# TiHg2Pt

TiHg2Pt after structural relaxation (PBE-GGA, Alexandria via LeMat-Bulk).

Cell lengths 7.715, 7.715, 5.561 Å; angles 90.00, 90.00, 90.00 degrees
Space group I-42d (No. 122)
Unique sites:
Ti: 0.000 0.000 0.000 x4
Hg: 0.245 0.250 0.625 x8
Pt: 0.000 0.000 0.500 x4

Output
Total DFT energy (no corrections): -3.42 eV per atom
Energy relative to the elements: 0.22 eV/atom
Spin magnetization: 0.232 μB per atom


# La2CePmPr6

La2CePmPr6 after structural relaxation (PBE-GGA, Alexandria via LeMat-Bulk).

Cell lengths 11.695, 7.026, 9.157 Å; angles 90.00, 107.00, 90.00 degrees
Space group C2/m (No. 12)
Unique sites:
La: 0.083 0.000 0.165 x4
Ce: 0.000 0.500 0.000 x2
Pm: 0.000 0.000 0.500 x2
Pr: 0.122 0.500 0.413 x4
Pr: 0.185 0.239 0.800 x8

Output
Total DFT energy (no corrections): -4.71 eV per atom
Energy relative to the elements: 0.21 eV/atom
Spin magnetization: 0.079 μB per atom


# EuHfSe2

EuHfSe2 after structural relaxation (PBE-GGA, Alexandria via LeMat-Bulk).

Cell lengths 3.8045, 3.8045, 27.6675 Å; angles 90.00, 90.00, 120.00 degrees
Space group R-3m (No. 166, hexagonal axes)
Unique sites:
Eu: 0.0000 0.0000 0.0000 x3
Hf: 0.0000 0.0000 0.5000 x3
Se: 0.0000 0.0000 0.1093 x6

Output
Total DFT energy (no corrections): -7.90 eV per atom
Uncorrected formation energy: -4.4 eV per formula unit
Spin magnetization: 1.922 μB per atom


# ZrHg2

ZrHg2 after structural relaxation (PBE-GGA, Alexandria via LeMat-Bulk).

Cell lengths 13.185, 3.299, 6.385 Å; angles 90.00, 102.45, 90.00 degrees
Space group C2/m (No. 12)
Unique sites:
Zr: 0.169 0.000 0.335 x4
Hg: 0.000 0.500 0.000 x2
Hg: 0.000 0.500 0.500 x2
Hg: 0.168 0.000 0.829 x4

Output
Total DFT energy (no corrections): -3.10 eV per atom
Energy relative to the elements: -0.05 eV/atom
Spin magnetization: 0.000 μB per atom


# AsIrS

AsIrS after structural relaxation (PBE-GGA, Alexandria via LeMat-Bulk).

Cell lengths 5.849, 5.849, 5.849 Å; angles 90.00, 90.00, 90.00 degrees
Space group P2_13 (No. 198)
Unique sites:
As: 0.118 0.382 0.618 x4
Ir: 0.004 0.996 0.496 x4
S: 0.113 0.113 0.113 x4

Output
Total DFT energy (no corrections): -6.45 eV per atom
Uncorrected formation energy: -1.7 eV per formula unit
Spin magnetization: 0.000 μB per atom


# YMg2TiP

YMg2TiP after structural relaxation (PBE-GGA, Alexandria via LeMat-Bulk).

Cell lengths 5.102, 5.102, 4.642 Å; angles 90.00, 90.00, 90.00 degrees
Space group P4/mmm (No. 123)
Unique sites:
Y: 0.000 0.000 0.000 x1
Mg: 0.000 0.500 0.500 x2
Ti: 0.500 0.500 0.500 x1
P: 0.500 0.500 0.000 x1

Output
Total DFT energy (no corrections): -4.42 eV per atom
Energy relative to the elements: 0.17 eV/atom
Spin magnetization: 0.198 μB per atom


# DyNiP

DyNiP after structural relaxation (PBE-GGA, Alexandria via LeMat-Bulk).

Cell lengths 3.9005, 3.9005, 15.4493 Å; angles 90.00, 90.00, 120.00 degrees
Space group P6_3/mmc (No. 194)
Unique sites:
Dy: 0.0000 0.0000 0.0000 x2
Dy: 0.0000 0.0000 0.2500 x2
Ni: 0.3333 0.6667 0.1280 x4
P: 0.3333 0.6667 0.6231 x4

Output
Total DFT energy (no corrections): -6.48 eV per atom
Energy relative to the elements: -1.22 eV/atom
Spin magnetization: 0.000 μB per atom


# LiLa2Zn10

LiLa2Zn10 after structural relaxation (PBE-GGA, Alexandria via LeMat-Bulk).

Cell lengths 5.505, 7.048, 13.662 Å; angles 90.00, 113.48, 90.00 degrees
Space group P2_1/c (No. 14)
Unique sites:
Li: 0.000 0.000 0.000 x2
La: 0.396 0.211 0.393 x4
Zn: 0.001 0.167 0.499 x4
Zn: 0.125 0.684 0.357 x4
Zn: 0.195 0.007 0.697 x4
Zn: 0.201 0.616 0.703 x4
Zn: 0.411 0.184 0.144 x4

Output
Total DFT energy (no corrections): -2.11 eV per atom
Energy relative to the elements: -0.22 eV/atom
Spin magnetization: 0.000 μB per atom


# K2CrCl4

K2CrCl4 after structural relaxation (PBE-GGA, Alexandria via LeMat-Bulk).

Cell lengths 5.005, 5.005, 15.511 Å; angles 90.00, 90.00, 90.00 degrees
Space group I4/mmm (No. 139)
Unique sites:
K: 0.000 0.000 0.139 x4
Cr: 0.000 0.000 0.500 x2
Cl: 0.000 0.000 0.342 x4
Cl: 0.000 0.500 0.000 x4

Output
Total DFT energy (no corrections): -4.29 eV per atom
Uncorrected formation energy: -10.8 eV per formula unit
Spin magnetization: 0.571 μB per atom


# HgIO2F

HgIO2F after structural relaxation (PBE-GGA, Alexandria via LeMat-Bulk).

Cell lengths 4.042, 4.042, 7.520 Å; angles 90.00, 90.00, 90.00 degrees
Space group P4/mmm (No. 123)
Unique sites:
Hg: 0.000 0.000 0.000 x1
I: 0.000 0.000 0.500 x1
O: 0.000 0.500 0.000 x2
F: 0.500 0.500 0.500 x1

Output
Total DFT energy (no corrections): -2.31 eV per atom
Uncorrected formation energy: 2.1 eV per formula unit
Spin magnetization: 0.198 μB per atom